# 1
A plane-wave DFT calculation with PBE was carried out for V2CuHRu after structural relaxation.

The structure in POSCAR format:
```
V2CuHRu
1.0
3.783 0.000 0.000
0.000 3.783 0.000
0.000 0.000 3.829
V Cu H Ru
2 1 1 1
direct
0.000 0.500 0.000
0.500 0.000 0.000
0.000 0.000 0.500
0.500 0.500 0.000
0.500 0.500 0.500
```

Values from the calculation:
VASP energy: -35.24 eV/cell
Magnetic moment: 0.00 μB/f.u.
ΔE to the lowest computed polymorph: 0.000 eV/atom

---

# 2
A plane-wave DFT calculation with PBE was carried out for LuPuCdSn after structural relaxation.

The structure in POSCAR format:
```
LuPuCdSn
1.0
0.000 3.734 3.734
3.734 0.000 3.734
3.734 3.734 0.000
Lu Pu Cd Sn
1 1 1 1
direct
0.000 0.000 0.000
0.500 0.500 0.500
0.250 0.250 0.250
0.750 0.750 0.750
```

Values from the calculation:
VASP energy: -24.95 eV/cell
E_form: -0.2940 eV per atom
Magnetic moment: 6.45 μB/f.u.

---

# 3
A plane-wave DFT calculation with PBE was carried out for Tb2NiSn3 after structural relaxation.

The structure in POSCAR format:
```
Tb2NiSn3
1.0
5.548 -2.279 0.000
5.548 2.279 0.000
-4.616 0.000 5.614
Tb Ni Sn
2 1 3
direct
0.000 0.000 0.000
0.128 0.128 0.606
0.380 0.380 0.554
0.399 0.399 0.210
0.666 0.666 0.924
0.752 0.752 0.429
```

Values from the calculation:
VASP energy: -30.48 eV/cell
E_form: -0.5716 eV per atom
Magnetic moment: 0.00 μB/f.u.

---

# 4
A plane-wave DFT calculation with PBE was carried out for ScMnNi3 after structural relaxation.

The structure in POSCAR format:
```
ScMnNi3
1.0
4.324 0.000 0.000
0.000 4.324 0.000
0.000 0.000 4.324
Sc Mn Ni
1 1 3
direct
0.000 0.000 0.000
0.500 0.500 0.500
0.000 0.500 0.500
0.500 0.000 0.500
0.500 0.500 0.000
```

Values from the calculation:
VASP energy: -30.41 eV/cell
E_form: 0.4864 eV per atom
Magnetic moment: 4.33 μB/f.u.
ΔE to the lowest computed polymorph: 0.626 eV/atom

---

# 5
A plane-wave DFT calculation with PBE was carried out for Y5Sb4Se after structural relaxation.

The structure in POSCAR format:
```
Y5Sb4Se
1.0
-2.170 2.170 15.301
2.170 -2.170 15.301
2.170 2.170 -15.301
Y Sb Se
5 4 1
direct
0.000 0.000 0.000
0.200 0.200 0.000
0.403 0.403 0.000
0.597 0.597 0.000
0.800 0.800 0.000
0.099 0.099 0.000
0.302 0.302 0.000
0.698 0.698 0.000
0.901 0.901 0.000
0.500 0.500 0.000
```

Values from the calculation:
VASP energy: -65.18 eV/cell
Magnetic moment: 0.00 μB/f.u.
Uncorrected formation energy: -1.29 eV per atom
ΔE to the lowest computed polymorph: 0.007 eV/atom

---

# 6
A plane-wave DFT calculation with PBE was carried out for Ca2Pm7Pr2 after structural relaxation.

The structure in POSCAR format:
```
Ca2Pm7Pr2
1.0
9.113 -5.971 0.000
9.113 5.971 0.000
0.000 0.000 3.697
Ca Pm Pr
2 7 2
direct
0.230 0.230 0.000
0.770 0.770 0.000
0.000 0.000 0.500
0.078 0.599 0.501
0.401 0.922 0.499
0.405 0.405 0.498
0.595 0.595 0.502
0.599 0.078 0.501
0.922 0.401 0.499
0.278 0.722 0.000
0.722 0.278 0.000
```

Values from the calculation:
VASP energy: -44.94 eV/cell
E_form: 0.1705 eV per atom
Magnetic moment: 0.00 μB/f.u.

---

# 7
A plane-wave DFT calculation with PBE was carried out for Ho2InH after structural relaxation.

The structure in POSCAR format:
```
Ho2InH
1.0
8.232 0.000 0.000
0.000 6.396 0.000
-1.432 0.000 6.479
Ho In H
8 4 4
direct
0.038 0.248 0.027
0.038 0.252 0.527
0.333 0.601 0.833
0.333 0.899 0.333
0.667 0.101 0.667
0.667 0.399 0.167
0.962 0.748 0.473
0.962 0.752 0.973
0.344 0.087 0.856
0.344 0.413 0.356
0.656 0.587 0.644
0.656 0.913 0.144
0.065 0.516 0.769
0.065 0.984 0.269
0.935 0.016 0.731
0.935 0.484 0.231
```

Values from the calculation:
VASP energy: -66.89 eV/cell
Magnetic moment: 0.00 μB/f.u.
ΔE to the lowest computed polymorph: 0.081 eV/atom

---

# 8
A plane-wave DFT calculation with PBE was carried out for TbHo4ScSe8 after structural relaxation.

The structure in POSCAR format:
```
TbHo4ScSe8
1.0
4.162 2.403 6.806
-4.162 2.403 6.806
0.000 -4.805 6.806
Tb Ho Sc Se
1 4 1 8
direct
0.000 0.000 0.000
0.000 0.000 0.514
0.000 0.514 0.000
0.379 0.379 0.379
0.514 0.000 0.000
0.629 0.629 0.629
0.245 0.245 0.245
0.246 0.755 0.755
0.247 0.247 0.778
0.247 0.778 0.247
0.755 0.246 0.755
0.755 0.755 0.246
0.757 0.757 0.757
0.778 0.247 0.247
```

Values from the calculation:
VASP energy: -80.96 eV/cell
Magnetic moment: 0.82 μB/f.u.
Uncorrected formation energy: -1.70 eV per atom

---

# 9
A plane-wave DFT calculation with PBE was carried out for HfMgS2 after structural relaxation.

The structure in POSCAR format:
```
HfMgS2
1.0
1.725 0.996 6.892
-1.725 0.996 6.892
0.000 -1.992 6.892
Hf Mg S
1 1 2
direct
0.000 0.000 0.000
0.166 0.166 0.166
0.415 0.415 0.415
0.584 0.584 0.584
```

Values from the calculation:
VASP energy: -24.67 eV/cell
Magnetic moment: 0.00 μB/f.u.
Uncorrected formation energy: -1.22 eV per atom
ΔE to the lowest computed polymorph: 0.000 eV/atom

---

# 10
A plane-wave DFT calculation with PBE was carried out for GaRe2AsIr after structural relaxation.

The structure in POSCAR format:
```
GaRe2AsIr
1.0
4.787 0.000 0.000
0.000 4.787 0.000
0.000 0.000 4.614
Ga Re As Ir
1 2 1 1
direct
0.000 0.000 0.000
0.000 0.500 0.500
0.500 0.000 0.500
0.500 0.500 0.000
0.000 0.000 0.500
```

Values from the calculation:
VASP energy: -33.54 eV/cell
E_form: 1.5780 eV per atom
Magnetic moment: 0.00 μB/f.u.